(1)
8
Lattice="2.3730 1.3700 7.7297 -2.3730 1.3700 7.7297 0.0000 -2.7401 7.7297" Properties=species:S:1:pos:R:3 comment="PBE-GGA PmMgIn2Pd4, optimized geometry" volume_a3_per_cell=151 e_form_mev_per_atom=-686 pbc="T T T"
Pm 0.0000 0.0000 0.0000
Mg 0.0000 0.0000 11.5946
In 0.0000 0.0000 5.7515
In 0.0000 0.0000 17.4377
Pd 0.0000 0.0000 2.9636
Pd 0.0000 0.0000 8.8984
Pd 0.0000 0.0000 14.2908
Pd 0.0000 0.0000 20.2256

***

(2)
20
Lattice="10.5124 0.0000 0.0000 0.0000 10.5124 0.0000 0.0000 0.0000 3.6220" Properties=species:S:1:pos:R:3 comment="PBE-GGA Pr2Mg2InPd5, optimized geometry" volume_a3_per_cell=400 e_form_mev_per_atom=-571 pbc="T T T"
Pr 1.8537 3.4026 0.0000
Pr 3.4026 8.6588 0.0000
Pr 7.1099 1.8537 0.0000
Pr 8.6588 7.1099 0.0000
Mg 1.2947 6.5509 0.0000
Mg 3.9615 1.2947 0.0000
Mg 6.5509 9.2177 0.0000
Mg 9.2177 3.9615 0.0000
In 0.0000 0.0000 0.0000
In 5.2562 5.2562 0.0000
Pd 0.0000 5.2562 1.8110
Pd 0.5742 8.3955 1.8110
Pd 2.1169 0.5742 1.8110
Pd 3.1393 5.8304 1.8110
Pd 4.6820 3.1393 1.8110
Pd 5.2562 0.0000 1.8110
Pd 5.8304 7.3731 1.8110
Pd 7.3731 4.6820 1.8110
Pd 8.3955 9.9382 1.8110
Pd 9.9382 2.1169 1.8110

***

(3)
8
Lattice="2.3199 1.3394 8.3716 -2.3199 1.3394 8.3716 0.0000 -2.6788 8.3716" Properties=species:S:1:pos:R:3 comment="PBE-GGA PrMgIn2Pd4, optimized geometry" volume_a3_per_cell=156 e_form_mev_per_atom=-668 pbc="T T T"
Pr 0.0000 0.0000 0.0000
Mg 0.0000 0.0000 12.5574
In 0.0000 0.0000 6.0819
In 0.0000 0.0000 19.0329
Pd 0.0000 0.0000 3.2183
Pd 0.0000 0.0000 9.9245
Pd 0.0000 0.0000 15.1903
Pd 0.0000 0.0000 21.8965

***

(4)
9
Lattice="7.6916 0.0000 0.0000 -3.8458 6.6611 0.0000 0.0000 0.0000 3.3000" Properties=species:S:1:pos:R:3 comment="PBE-GGA Mg3In3Pd2Pt, optimized geometry" volume_a3_per_cell=169 e_form_mev_per_atom=-539 pbc="T T T"
Mg -2.7872 4.8276 0.0000
Mg 1.0586 1.8335 0.0000
Mg 5.5745 0.0000 0.0000
In -1.4539 2.5183 1.6500
In 2.9078 0.0000 1.6500
In 2.3919 4.1429 1.6500
Pd 0.0000 4.4408 0.0000
Pd 3.8458 2.2204 0.0000
Pt 0.0000 0.0000 1.6500

***

(5)
18
Lattice="-3.9136 3.9136 5.5004 3.9136 -3.9136 5.5004 3.9136 3.9136 -5.5004" Properties=species:S:1:pos:R:3 comment="PBE-GGA MgIn2PdPt5, optimized geometry" volume_a3_per_cell=337 e_form_mev_per_atom=-28 pbc="T T T"
Mg 0.0000 0.0000 2.7502
Mg 0.0000 0.0000 8.2507
In 4.8304 0.9168 0.0000
In 0.9168 2.9968 0.0000
In 2.9968 0.9168 5.5004
In -0.9168 2.9968 5.5004
Pd 3.9136 0.0000 2.7502
Pd 0.0000 3.9136 2.7502
Pt 0.0000 0.0000 0.0000
Pt 2.3609 1.5527 -1.4889
Pt 2.3609 -1.5527 4.0116
Pt 2.3609 1.5527 1.4889
Pt 2.3609 -1.5527 6.9893
Pt 0.0000 0.0000 5.5004
Pt 1.5527 5.4663 -1.4889
Pt 1.5527 2.3609 4.0116
Pt 1.5527 5.4663 1.4889
Pt 1.5527 2.3609 6.9893

***

(6)
4
Lattice="0.0000 3.5401 3.5401 3.5401 0.0000 3.5401 3.5401 3.5401 0.0000" Properties=species:S:1:pos:R:3 comment="PBE-GGA PuMgInPd, optimized geometry" volume_a3_per_cell=89 e_form_mev_per_atom=-254 pbc="T T T"
Pu 0.0000 0.0000 0.0000
Mg 3.5401 3.5401 3.5401
In 1.7700 1.7700 1.7700
Pd 5.3101 5.3101 5.3101

***

(7)
9
Lattice="7.6848 0.0000 0.0000 -3.8424 6.6553 0.0000 0.0000 0.0000 3.1875" Properties=species:S:1:pos:R:3 comment="PBE-GGA Mg3In3PdRh2, optimized geometry" volume_a3_per_cell=163 e_form_mev_per_atom=-422 pbc="T T T"
Mg -2.7610 4.7822 0.0000
Mg 1.0814 1.8730 0.0000
Mg 5.5220 0.0000 0.0000
In -1.4727 2.5508 1.5937
In 2.9454 0.0000 1.5937
In 2.3697 4.1045 1.5937
Pd 0.0000 0.0000 1.5937
Rh 0.0000 4.4368 0.0000
Rh 3.8424 2.2184 0.0000

***

(8)
9
Lattice="7.7405 0.0000 0.0000 -3.8703 6.7035 0.0000 0.0000 0.0000 3.2704" Properties=species:S:1:pos:R:3 comment="PBE-GGA Mg3In3Pd2Rh, optimized geometry" volume_a3_per_cell=170 e_form_mev_per_atom=-466 pbc="T T T"
Mg -2.3842 4.1296 0.0000
Mg 1.4860 2.5739 0.0000
Mg 4.7684 0.0000 0.0000
In -1.1000 1.9053 1.6352
In 2.2001 0.0000 1.6352
In 2.7702 4.7982 1.6352
Pd 0.0000 4.4690 1.6352
Pd 3.8703 2.2345 1.6352
Rh 0.0000 0.0000 0.0000

***

(9)
9
Lattice="7.7153 0.0000 0.0000 -3.8577 6.6817 0.0000 0.0000 0.0000 3.3058" Properties=species:S:1:pos:R:3 comment="PBE-GGA Mg3In3Pd2Ru, optimized geometry" volume_a3_per_cell=170 e_form_mev_per_atom=-350 pbc="T T T"
Mg -1.4814 2.5659 0.0000
Mg 2.9628 0.0000 0.0000
Mg 2.3762 4.1158 0.0000
In -2.7706 4.7988 1.6529
In 1.0871 1.8829 1.6529
In 5.5412 0.0000 1.6529
Pd 0.0000 4.4544 1.6529
Pd 3.8577 2.2272 1.6529
Ru 0.0000 0.0000 0.0000

***

(10)
5
Lattice="5.3047 0.0000 0.0000 0.0000 5.3047 0.0000 0.0000 0.0000 5.2860" Properties=species:S:1:pos:R:3 comment="PBE-GGA MgIn2SbPd, optimized geometry" volume_a3_per_cell=149 raw_formation_energy_ev_per_atom=0.6152 pbc="T T T"
Mg 0.0000 0.0000 0.0000
In 0.0000 2.6523 0.0000
In 2.6523 0.0000 0.0000
Sb 0.0000 0.0000 2.6430
Pd 2.6523 2.6523 2.6430

***

(11)
8
Lattice="2.3191 1.3389 7.4851 -2.3191 1.3389 7.4851 0.0000 -2.6779 7.4851" Properties=species:S:1:pos:R:3 comment="PBE-GGA MgScIn2Pd4, optimized geometry" volume_a3_per_cell=139 e_form_mev_per_atom=-745 pbc="T T T"
Mg 0.0000 0.0000 0.0000
Sc 0.0000 0.0000 11.2277
In 0.0000 0.0000 5.6240
In 0.0000 0.0000 16.8313
Pd 0.0000 0.0000 2.8077
Pd 0.0000 0.0000 8.4310
Pd 0.0000 0.0000 14.0243
Pd 0.0000 0.0000 19.6476

***

(12)
20
Lattice="11.4037 0.0000 0.0000 0.0000 11.4037 0.0000 0.0000 0.0000 3.4749" Properties=species:S:1:pos:R:3 comment="PBE-GGA Mg2Sc5InPd2, optimized geometry" volume_a3_per_cell=452 e_form_mev_per_atom=-436 pbc="T T T"
Mg 1.9834 3.7184 0.0000
Mg 3.7184 9.4203 0.0000
Mg 7.6853 1.9834 0.0000
Mg 9.4203 7.6853 0.0000
Sc 0.0000 5.7018 1.7375
Sc 0.7927 9.0714 1.7375
Sc 2.3323 0.7927 1.7375
Sc 3.3695 6.4945 1.7375
Sc 4.9092 3.3695 1.7375
Sc 5.7018 0.0000 1.7375
Sc 6.4945 8.0342 1.7375
Sc 8.0342 4.9092 1.7375
Sc 9.0714 10.6110 1.7375
Sc 10.6110 2.3323 1.7375
In 0.0000 0.0000 0.0000
In 5.7018 5.7018 0.0000
Pd 1.4632 7.1650 0.0000
Pd 4.2387 1.4632 0.0000
Pd 7.1650 9.9405 0.0000
Pd 9.9405 4.2387 0.0000

***

(13)
20
Lattice="9.9239 0.0000 0.0000 0.0000 9.9239 0.0000 0.0000 0.0000 3.4353" Properties=species:S:1:pos:R:3 comment="PBE-GGA MgIn2Si2Pd5, optimized geometry" volume_a3_per_cell=338 raw_formation_energy_ev_per_atom=-0.4320 pbc="T T T"
Mg 0.0000 0.0000 0.0000
Mg 4.9620 4.9620 0.0000
In 1.7823 3.1797 0.0000
In 3.1797 8.1417 0.0000
In 6.7443 1.7823 0.0000
In 8.1417 6.7443 0.0000
Si 1.2954 6.2574 0.0000
Si 3.6666 1.2954 0.0000
Si 6.2574 8.6285 0.0000
Si 8.6285 3.6666 0.0000
Pd 0.0000 4.9620 1.7177
Pd 0.2909 7.7634 1.7177
Pd 2.1605 0.2909 1.7177
Pd 2.8015 5.2528 1.7177
Pd 4.6711 2.8015 1.7177
Pd 4.9620 0.0000 1.7177
Pd 5.2528 7.1225 1.7177
Pd 7.1225 4.6711 1.7177
Pd 7.7634 9.6331 1.7177
Pd 9.6331 2.1605 1.7177

***

(14)
9
Lattice="-3.2382 3.2382 4.3784 3.2382 -3.2382 4.3784 3.2382 3.2382 -4.3784" Properties=species:S:1:pos:R:3 comment="PBE-GGA Mg2In2SnPd4, optimized geometry" volume_a3_per_cell=184 e_form_mev_per_atom=-233 pbc="T T T"
Mg 0.0000 0.0000 1.6855
Mg 0.0000 0.0000 7.0713
In 3.2382 0.0000 2.1892
In 0.0000 3.2382 2.1892
Sn 0.0000 0.0000 4.3784
Pd 1.4248 1.4248 0.0000
Pd 1.8133 -1.8133 4.3784
Pd -1.8133 1.8133 4.3784
Pd 1.8133 1.8133 4.3784

***

(15)
20
Lattice="10.7769 0.0000 0.0000 0.0000 10.7769 0.0000 0.0000 0.0000 3.2281" Properties=species:S:1:pos:R:3 comment="PBE-GGA Mg2In2SnPd5, optimized geometry" volume_a3_per_cell=375 e_form_mev_per_atom=-484 pbc="T T T"
Mg 1.5780 3.8104 0.0000
Mg 3.8104 9.1989 0.0000
Mg 6.9665 1.5780 0.0000
Mg 9.1989 6.9665 0.0000
In 1.5826 6.9710 0.0000
In 3.8059 1.5826 0.0000
In 6.9710 9.1943 0.0000
In 9.1943 3.8059 0.0000
Sn 0.0000 0.0000 0.0000
Sn 5.3885 5.3885 0.0000
Pd 0.0000 5.3885 1.6141
Pd 1.5594 1.6027 1.6141
Pd 1.6027 9.2176 1.6141
Pd 3.7857 3.8291 1.6141
Pd 3.8291 6.9912 1.6141
Pd 5.3885 0.0000 1.6141
Pd 6.9478 3.7857 1.6141
Pd 6.9912 6.9478 1.6141
Pd 9.1742 1.5594 1.6141
Pd 9.2176 9.1742 1.6141

***

(16)
20
Lattice="11.2037 0.0000 0.0000 0.0000 11.2037 0.0000 0.0000 0.0000 3.4524" Properties=species:S:1:pos:R:3 comment="PBE-GGA Mg5In2SnPd2, optimized geometry" volume_a3_per_cell=433 e_form_mev_per_atom=-308 pbc="T T T"
Mg 0.0000 5.6018 0.0000
Mg 0.6231 2.3686 0.0000
Mg 2.3686 10.5805 0.0000
Mg 3.2332 4.9787 0.0000
Mg 4.9787 7.9704 0.0000
Mg 5.6018 0.0000 0.0000
Mg 6.2250 3.2332 0.0000
Mg 7.9704 6.2250 0.0000
Mg 8.8351 0.6231 0.0000
Mg 10.5805 8.8351 0.0000
In 2.0168 7.6186 1.7262
In 3.5851 2.0168 1.7262
In 7.6186 9.1869 1.7262
In 9.1869 3.5851 1.7262
Sn 0.0000 0.0000 1.7262
Sn 5.6018 5.6018 1.7262
Pd 1.4388 4.1630 1.7262
Pd 4.1630 9.7649 1.7262
Pd 7.0406 1.4388 1.7262
Pd 9.7649 7.0406 1.7262

***

(17)
20
Lattice="9.8920 0.0000 0.0000 0.0000 9.8920 0.0000 0.0000 0.0000 4.2875" Properties=species:S:1:pos:R:3 comment="PBE-GGA Mg5InSn2Pd2, optimized geometry" volume_a3_per_cell=420 e_form_mev_per_atom=-319 pbc="T T T"
Mg 0.0000 4.9460 0.0000
Mg 0.7597 2.0709 0.0000
Mg 2.0709 9.1323 0.0000
Mg 2.8751 4.1863 0.0000
Mg 4.1863 7.0168 0.0000
Mg 4.9460 0.0000 0.0000
Mg 5.7056 2.8751 0.0000
Mg 7.0168 5.7056 0.0000
Mg 7.8211 0.7597 0.0000
Mg 9.1323 7.8211 0.0000
In 0.0000 0.0000 2.1438
In 4.9460 4.9460 2.1438
Sn 1.7101 6.6561 2.1438
Sn 3.2358 1.7101 2.1438
Sn 6.6561 8.1818 2.1438
Sn 8.1818 3.2358 2.1438
Pd 1.1862 3.7598 2.1438
Pd 3.7598 8.7057 2.1438
Pd 6.1322 1.1862 2.1438
Pd 8.7057 6.1322 2.1438

***

(18)
5
Lattice="5.8350 0.0000 0.0000 0.0000 5.8350 0.0000 0.0000 0.0000 5.0888" Properties=species:S:1:pos:R:3 comment="PBE-GGA Sr2MgInPd, optimized geometry" volume_a3_per_cell=173 e_form_mev_per_atom=-294 pbc="T T T"
Sr 0.0000 2.9175 0.0000
Sr 2.9175 0.0000 0.0000
Mg 0.0000 0.0000 2.5444
In 2.9175 2.9175 2.5444
Pd 0.0000 0.0000 0.0000

***

(19)
10
Lattice="6.0653 0.0000 0.0000 3.0083 6.7686 0.0000 2.9987 -1.2597 6.7474" Properties=species:S:1:pos:R:3 comment="PBE-GGA Sr2MgIn6Pd, optimized geometry" volume_a3_per_cell=277 e_form_mev_per_atom=-280 pbc="T T T"
Sr 3.0285 1.3306 1.7686
Sr 9.0438 4.1783 4.9788
Mg 0.0000 0.0000 0.0000
In 4.5342 1.1628 5.3552
In 6.0124 5.4428 3.8949
In 4.5516 4.3540 1.3661
In 7.5207 1.1549 5.3813
In 6.0599 0.0660 2.8525
In 7.5381 4.3461 1.3922
Pd 6.0361 2.7544 3.3737

***

(20)
20
Lattice="10.9907 0.0000 0.0000 0.0000 10.9907 0.0000 0.0000 0.0000 3.5433" Properties=species:S:1:pos:R:3 comment="PBE-GGA Sr2MgIn2Pd5, optimized geometry" volume_a3_per_cell=428 e_form_mev_per_atom=-523 pbc="T T T"
Sr 1.8798 3.6156 0.0000
Sr 3.6156 9.1109 0.0000
Sr 7.3752 1.8798 0.0000
Sr 9.1109 7.3752 0.0000
Mg 0.0000 0.0000 0.0000
Mg 5.4954 5.4954 0.0000
In 1.4324 6.9277 0.0000
In 4.0630 1.4324 0.0000
In 6.9277 9.5584 0.0000
In 9.5584 4.0630 0.0000
Pd 0.0000 5.4954 1.7717
Pd 0.6288 8.9072 1.7717
Pd 2.0835 0.6288 1.7717
Pd 3.4119 6.1242 1.7717
Pd 4.8666 3.4119 1.7717
Pd 5.4954 0.0000 1.7717
Pd 6.1242 7.5789 1.7717
Pd 7.5789 4.8666 1.7717
Pd 8.9072 10.3619 1.7717
Pd 10.3619 2.0835 1.7717